Record 1
This record from the Alexandria database describes an optimized crystal structure of CdGaP3. The functional is PBE.

Summary:
Polymorph energy (0 for the lowest one): 0 meV/atom
Raw total energy: -3.164 eV per atom
Space-group type: Pm-3m
Calculated volume: 106.0 Å³ per cell
Formation energy: 84.00 kJ per mole of atoms
Crystal system: cubic

Unit cell a=4.732 b=4.732 c=4.732 alpha=90.00 beta=90.00 gamma=90.00
Fractional coordinates of all 5 atoms:
Cd  0.000  0.000  0.000
Ga  0.500  0.500  0.500
P  0.000  0.500  0.500
P  0.500  0.000  0.500
P  0.500  0.500  0.000

***

Record 2
This record from the Alexandria database describes an optimized crystal structure of Ga2Co2Cu. The functional is PBE.

Summary:
Polymorph energy (0 for the lowest one): 0 meV/atom
Raw total energy: -4.955 eV per atom
Space-group type: P4/mbm
Calculated volume: 127.4 Å³ per cell
Formation energy: -7.99 kJ per mole of atoms
Crystal system: tetragonal

Unit cell a=6.773 b=6.773 c=2.776 alpha=90.00 beta=90.00 gamma=90.00
Fractional coordinates of all 10 atoms:
Ga  0.167  0.333  0.000
Ga  0.333  0.833  0.000
Ga  0.667  0.167  0.000
Ga  0.833  0.667  0.000
Co  0.132  0.632  0.500
Co  0.368  0.132  0.500
Co  0.632  0.868  0.500
Co  0.868  0.368  0.500
Cu  0.000  0.000  0.500
Cu  0.500  0.500  0.500

***

Record 3
This record from the Alexandria database describes an optimized crystal structure of LiDyScIr. The functional is PBE.

Summary:
Raw total energy: -6.020 eV per atom
Space-group type: F-43m
Calculated volume: 307.8 Å³ per cell
Formation energy: -57.17 kJ per mole of atoms
Crystal system: cubic

Unit cell a=6.752 b=6.752 c=6.752 alpha=90.00 beta=90.00 gamma=90.00
Fractional coordinates of all 16 atoms:
Li  0.000  0.000  0.000
Li  0.000  0.500  0.500
Li  0.500  0.000  0.500
Li  0.500  0.500  0.000
Dy  0.250  0.250  0.250
Dy  0.250  0.750  0.750
Dy  0.750  0.250  0.750
Dy  0.750  0.750  0.250
Sc  0.250  0.250  0.750
Sc  0.250  0.750  0.250
Sc  0.750  0.250  0.250
Sc  0.750  0.750  0.750
Ir  0.000  0.000  0.500
Ir  0.000  0.500  0.000
Ir  0.500  0.000  0.000
Ir  0.500  0.500  0.500

***

Record 4
This record from the Alexandria database describes an optimized crystal structure of HoPuZr. The functional is PBE.

Summary:
Polymorph energy (0 for the lowest one): 0 meV/atom
Raw total energy: -9.023 eV per atom
Space-group type: I4mm
Calculated volume: 158.7 Å³ per cell
Formation energy: 12.47 kJ per mole of atoms
Crystal system: tetragonal

Unit cell a=3.336 b=3.336 c=14.260 alpha=90.00 beta=90.00 gamma=90.00
Fractional coordinates of all 6 atoms:
Ho  0.000  0.000  0.000
Ho  0.500  0.500  0.500
Pu  0.000  0.000  0.680
Pu  0.500  0.500  0.180
Zr  0.000  0.000  0.334
Zr  0.500  0.500  0.834

***

Record 5
This record from the Alexandria database describes an optimized crystal structure of HgPb6O8. The functional is PBE.

Summary:
Raw total energy: -4.901 eV per atom
Energy relative to the elements, uncorrected: -0.753 eV/atom
Space-group type: R-3
Calculated volume: 288.8 Å³ per cell
Crystal system: trigonal

Unit cell a=7.997 b=7.997 c=7.997 alpha=51.45 beta=51.45 gamma=51.45
Fractional coordinates of all 15 atoms:
Hg  0.000  0.000  0.000
Pb  0.131  0.410  0.746
Pb  0.254  0.869  0.590
Pb  0.410  0.746  0.131
Pb  0.590  0.254  0.869
Pb  0.746  0.131  0.410
Pb  0.869  0.590  0.254
O  0.102  0.774  0.506
O  0.226  0.494  0.898
O  0.384  0.384  0.384
O  0.494  0.898  0.226
O  0.506  0.102  0.774
O  0.616  0.616  0.616
O  0.774  0.506  0.102
O  0.898  0.226  0.494

***

Record 6
This record from the Alexandria database describes an optimized crystal structure of HgAu5. The functional is PBE.

Summary:
Polymorph energy (0 for the lowest one): 3 meV/atom
Raw total energy: -2.743 eV per atom
Space-group type: Cmmm
Calculated volume: 224.2 Å³ per cell
Formation energy: 3.73 kJ per mole of atoms
Crystal system: orthorhombic

Unit cell a=4.301 b=12.062 c=4.321 alpha=90.00 beta=90.00 gamma=90.00
Fractional coordinates of all 12 atoms:
Hg  0.000  0.000  0.000
Hg  0.500  0.500  0.000
Au  0.000  0.169  0.500
Au  0.000  0.332  0.000
Au  0.000  0.500  0.500
Au  0.000  0.668  0.000
Au  0.000  0.831  0.500
Au  0.500  0.000  0.500
Au  0.500  0.168  0.000
Au  0.500  0.331  0.500
Au  0.500  0.669  0.500
Au  0.500  0.832  0.000

***

Record 7
This record from the Alexandria database describes an optimized crystal structure of SrCd2Pt. The functional is PBE.

Summary:
Raw total energy: -2.760 eV per atom
Space-group type: P2/m
Calculated volume: 108.5 Å³ per cell
Formation energy: -35.83 kJ per mole of atoms
Crystal system: monoclinic

Unit cell a=4.798 b=4.826 c=4.859 alpha=90.00 beta=105.34 gamma=90.00
Fractional coordinates of all 4 atoms:
Sr  0.000  0.000  0.000
Cd  0.314  0.500  0.688
Cd  0.686  0.500  0.312
Pt  0.500  0.000  0.500

***

Record 8
This record from the Alexandria database describes an optimized crystal structure of TaPAuS2. The functional is PBE.

Summary:
Polymorph energy (0 for the lowest one): 1019 meV/atom
Raw total energy: -4.509 eV per atom
Energy relative to the elements, uncorrected: 1.250 eV/atom
Space-group type: P4/mmm
Calculated volume: 103.5 Å³ per cell
Crystal system: tetragonal

Unit cell a=4.697 b=4.697 c=4.690 alpha=90.00 beta=90.00 gamma=90.00
Fractional coordinates of all 5 atoms:
Ta  0.000  0.000  0.000
P  0.500  0.500  0.000
Au  0.500  0.500  0.500
S  0.000  0.500  0.500
S  0.500  0.000  0.500